{
  "formula": "PmEuAgPb",
  "functional": "PBE",
  "state": "relaxed",
  "delta_e_f_mev_per_atom": -443,
  "lattice_angstrom": [[-2.047, 3.407, -3.757], [-3.298, -1.915, -3.920], [-5.324, 1.250, 0.054]],
  "species": ["Eu", "Pb", "Ag", "Pm"],
  "frac_coords": [[0.500, 0.500, 0.500], [0.750, 0.750, 0.750], [0.250, 0.250, 0.250], [0.000, 0.000, 0.000]]
}